# 1
Nd2Sm2Bi3: relaxed, PBE.

* SG: C2/m (12)
* total magnetic moment: 0.00 μB per atom
* Fermi-level density of states: 0.531 states/eV/atom
* distance to the lowest polymorph of the same formula: 1.05 eV/f.u.
* ΔH_f (0 K): -0.67 eV per atom
* calculated density: 7.92 g/cm3

a b c (Å): 7.705 7.705 7.687
angles (deg): 98.86 98.86 34.47
Element x y z (fractional)
Nd 0.124 0.124 0.363
Nd 0.876 0.876 0.637
Sm 0.380 0.380 0.117
Sm 0.620 0.620 0.883
Bi 0.242 0.242 0.753
Bi 0.500 0.500 0.500
Bi 0.758 0.758 0.247

# 2
Nd3Sm2Bi2: relaxed, PBE.

* SG: C2/m (12)
* total magnetic moment: 0.12 μB per atom
* Fermi-level density of states: 1.042 states/eV/atom
* ΔH_f (0 K): -0.30 eV per atom
* calculated density: 7.95 g/cm3

a b c (Å): 8.871 8.871 7.570
angles (deg): 115.08 115.08 26.66
Element x y z (fractional)
Nd 0.000 0.000 0.000
Nd 0.213 0.213 0.271
Nd 0.787 0.787 0.729
Sm 0.112 0.112 0.728
Sm 0.888 0.888 0.272
Bi 0.421 0.421 0.628
Bi 0.579 0.579 0.372

# 3
Nd2Sm3Bi2: relaxed, PBE.

* SG: C2/m (12)
* total magnetic moment: 0.09 μB per atom
* Fermi-level density of states: 1.177 states/eV/atom
* ΔH_f (0 K): -0.30 eV per atom
* calculated density: 8.06 g/cm3

a b c (Å): 8.808 8.808 7.595
angles (deg): 115.21 115.21 26.76
Element x y z (fractional)
Nd 0.116 0.116 0.496
Nd 0.884 0.884 0.504
Sm 0.000 0.000 0.000
Sm 0.213 0.213 0.145
Sm 0.787 0.787 0.855
Bi 0.423 0.423 0.215
Bi 0.577 0.577 0.785

# 4
Nd5Sm3Bi8: relaxed, PBE.

* SG: R-3m (166)
* total magnetic moment: 0.00 μB per atom
* Fermi-level density of states: 0.152 states/eV/atom
* ΔH_f (0 K): -0.94 eV per atom
* calculated density: 8.63 g/cm3

a b c (Å): 9.183 9.183 9.183
angles (deg): 60.00 60.00 60.00
Element x y z (fractional)
Nd 0.000 0.000 0.000
Nd 0.000 0.500 0.500
Nd 0.500 0.000 0.500
Nd 0.500 0.500 0.000
Nd 0.500 0.500 0.500
Sm 0.000 0.000 0.500
Sm 0.000 0.500 0.000
Sm 0.500 0.000 0.000
Bi 0.248 0.750 0.750
Bi 0.249 0.249 0.249
Bi 0.250 0.250 0.752
Bi 0.250 0.752 0.250
Bi 0.750 0.248 0.750
Bi 0.750 0.750 0.248
Bi 0.751 0.751 0.751
Bi 0.752 0.250 0.250

# 5
Nd5SmBi4: relaxed, PBE.

* SG: C2/m (12)
* total magnetic moment: 0.00 μB per atom
* Fermi-level density of states: 0.735 states/eV/atom
* ΔH_f (0 K): -0.57 eV per atom
* calculated density: 7.56 g/cm3

a b c (Å): 10.052 10.052 8.820
angles (deg): 105.49 105.49 25.96
Element x y z (fractional)
Nd 0.000 0.000 0.000
Nd 0.323 0.323 0.148
Nd 0.337 0.337 0.677
Nd 0.663 0.663 0.323
Nd 0.677 0.677 0.852
Sm 0.000 0.000 0.500
Bi 0.169 0.169 0.588
Bi 0.492 0.492 0.245
Bi 0.508 0.508 0.755
Bi 0.831 0.831 0.412

# 6
Nd3Sm5Bi8: relaxed, PBE.

* SG: R-3m (166)
* total magnetic moment: 0.00 μB per atom
* Fermi-level density of states: 0.156 states/eV/atom
* ΔH_f (0 K): -0.93 eV per atom
* calculated density: 8.74 g/cm3

a b c (Å): 9.157 9.157 9.157
angles (deg): 60.00 60.00 60.00
Element x y z (fractional)
Nd 0.000 0.500 0.500
Nd 0.500 0.000 0.500
Nd 0.500 0.500 0.000
Sm 0.000 0.000 0.000
Sm 0.000 0.000 0.500
Sm 0.000 0.500 0.000
Sm 0.500 0.000 0.000
Sm 0.500 0.500 0.500
Bi 0.248 0.750 0.750
Bi 0.249 0.249 0.249
Bi 0.250 0.250 0.752
Bi 0.250 0.752 0.250
Bi 0.750 0.248 0.750
Bi 0.750 0.750 0.248
Bi 0.751 0.751 0.751
Bi 0.752 0.250 0.250

# 7
NdSm4Bi5: relaxed, PBE.

* SG: Immm (71)
* total magnetic moment: 0.00 μB per atom
* Fermi-level density of states: 0.198 states/eV/atom
* ΔH_f (0 K): -0.93 eV per atom
* calculated density: 8.82 g/cm3

a b c (Å): 12.082 12.082 12.082
angles (deg): 158.19 149.00 38.22
Element x y z (fractional)
Nd 0.000 0.000 0.000
Sm 0.201 0.201 0.000
Sm 0.400 0.400 0.000
Sm 0.600 0.600 0.000
Sm 0.799 0.799 0.000
Bi 0.101 0.601 0.500
Bi 0.300 0.800 0.500
Bi 0.500 0.000 0.500
Bi 0.700 0.200 0.500
Bi 0.899 0.399 0.500

# 8
Nd2SmBi3: relaxed, PBE.

* SG: Immm (71)
* total magnetic moment: 0.00 μB per atom
* Fermi-level density of states: 0.215 states/eV/atom
* ΔH_f (0 K): -0.94 eV per atom
* calculated density: 8.61 g/cm3

a b c (Å): 7.955 7.955 7.955
angles (deg): 146.42 131.85 59.98
Element x y z (fractional)
Nd 0.167 0.167 0.000
Nd 0.833 0.833 0.000
Sm 0.500 0.500 0.000
Bi 0.000 0.500 0.500
Bi 0.335 0.835 0.500
Bi 0.665 0.165 0.500

# 9
Nd2SmBi: relaxed, PBE.

* SG: R3m (160)
* total magnetic moment: 0.18 μB per atom
* Fermi-level density of states: 1.258 states/eV/atom
* distance to the lowest polymorph of the same formula: 0.90 eV/f.u.
* ΔH_f (0 K): -0.21 eV per atom
* calculated density: 7.34 g/cm3

a b c (Å): 10.058 10.058 10.058
angles (deg): 23.89 23.89 23.89
Element x y z (fractional)
Nd 0.000 0.000 0.000
Nd 0.192 0.192 0.192
Sm 0.429 0.429 0.429
Bi 0.596 0.596 0.596

# 10
NdSmBi: relaxed, PBE.

* SG: P3m1 (156)
* total magnetic moment: 0.00 μB per atom
* Fermi-level density of states: 1.050 states/eV/atom
* ΔH_f (0 K): -0.30 eV per atom
* calculated density: 8.31 g/cm3

a b c (Å): 5.302 5.302 4.134
angles (deg): 90.00 90.00 120.00
Element x y z (fractional)
Nd 0.000 0.000 0.000
Sm 0.333 0.667 0.471
Bi 0.667 0.333 0.669

The highest calculated density belongs to which entry?
NdSm4Bi5